Compound: LiReH2
Source: Alexandria via LeMat-Bulk
Functional: PBE-GGA
Structure: relaxed

Cell and atoms, written as POSCAR:
```
LiReH2
1.0
-1.6650 -0.5044 2.9834
-3.3295 0.8712 0.2880
-2.4140 -2.4585 0.2361
Re H Li
1 2 1
Cartesian
-3.7042 -1.0458 1.7537
-5.5564 -1.5687 2.6306
-1.8521 -0.5229 0.8769
0.0000 0.0000 0.0000
```

Computed properties:
Spin magnetization: 0.000 μB/atom
Calculated volume: 29 Å³/cell
SG: Fm-3m (225)
E_tot: -18.2 eV for the cell shown

---

Compound: LiRe2H8
Source: Alexandria via LeMat-Bulk
Functional: PBE-GGA
Structure: relaxed

Cell and atoms, written as POSCAR:
```
LiRe2H8
1.0
-2.9722 -0.7018 1.9846
2.5253 -3.2954 2.4781
0.0523 4.5768 1.5584
H Li Re
8 1 2
Cartesian
0.0658 0.2421 1.8952
0.7890 2.2021 1.8229
0.8210 2.0379 3.8295
-0.4766 0.3294 4.1012
-1.9842 0.9297 1.8869
-1.2315 -1.4664 2.1668
1.5737 -0.3581 4.1094
1.7725 -0.9288 2.1887
-0.4022 0.5757 6.0087
0.2158 -1.0549 3.1548
-0.6265 1.6264 2.8416
```

Computed properties:
Spin magnetization: 0.000 μB/atom
Calculated volume: 75 Å³/cell
SG: C2/m (12)
E_tot: -52.3 eV for the cell shown

---

Compound: Li2ReH6
Source: Alexandria via LeMat-Bulk
Functional: PBE-GGA
Structure: relaxed

Cell and atoms, written as POSCAR:
```
Li2ReH6
1.0
-3.6448 -1.3390 -3.0208
-1.0383 -4.7660 -0.6408
-4.1558 -1.8815 1.8420
H Re Li
6 1 2
Cartesian
-2.7530 -4.3741 -0.7772
-6.0859 -3.6123 -1.0424
-4.8012 -5.3014 0.1307
-4.5494 -5.0340 -2.2661
-4.0376 -2.6850 -1.9503
-4.2895 -2.9524 0.4465
0.0000 0.0000 0.0000
-6.6293 -5.9899 -1.3648
-2.2096 -1.9965 -0.4549
```

Computed properties:
Spin magnetization: 0.334 μB/atom
Calculated volume: 84 Å³/cell
SG: Fm-3m (225)
E_tot: -34.9 eV for the cell shown

---

Compound: LiReH2
Source: Alexandria via LeMat-Bulk
Functional: PBE-GGA
Structure: relaxed

Cell and atoms, written as POSCAR:
```
LiReH2
1.0
2.8574 0.0000 0.0000
1.4287 2.4746 0.0000
1.4287 0.8249 4.6882
H Li Re
2 1 1
Cartesian
1.4287 0.8249 1.3777
4.2862 2.4746 3.3104
0.0000 0.0000 0.0000
2.8574 1.6497 2.3441
```

Computed properties:
Spin magnetization: 0.000 μB/atom
Calculated volume: 33 Å³/cell
SG: R-3m (166)
E_tot: -21.0 eV for the cell shown

---

Compound: Li2ReH6
Source: Alexandria via LeMat-Bulk
Functional: PBE-GGA
Structure: relaxed

Cell and atoms, written as POSCAR:
```
Li2ReH6
1.0
-0.9814 0.5987 -3.3972
-2.4579 -2.5996 0.2519
-6.6191 6.5556 3.0674
H Li Re
12 4 2
Cartesian
-1.1839 -0.6888 -1.0827
-2.2566 1.0884 -2.3143
-7.8018 3.4663 2.2365
-4.5210 3.3783 -1.2950
-2.2554 -1.3121 -2.0626
-6.6300 2.9658 -0.0833
-4.5695 0.9250 -1.0381
-5.4889 3.6297 0.9603
-3.4284 1.5890 0.0055
-3.2432 -1.0486 0.1240
-6.8152 5.6033 -0.2018
-5.5374 1.1765 1.2172
-2.1656 2.1448 1.0036
-4.4536 4.4108 2.0639
-2.8636 0.1326 -1.0425
-7.1948 4.4222 0.9647
0.0000 0.0000 0.0000
-5.0292 2.2774 -0.0389
```

Computed properties:
Spin magnetization: 0.000 μB/atom
Calculated volume: 126 Å³/cell
SG: P4_2/mnm (136)
E_tot: -69.5 eV for the cell shown

---

Compound: LiReH4
Source: Alexandria via LeMat-Bulk
Functional: PBE-GGA
Structure: relaxed

Cell and atoms, written as POSCAR:
```
LiReH4
1.0
-0.6187 2.5227 -1.4049
-4.2725 -1.5777 -0.9514
-4.4697 5.2415 11.3803
Re Li H
4 4 16
Cartesian
-6.4802 4.6047 9.5704
-2.8807 1.5819 -0.5464
-6.4967 2.5282 2.7453
-2.8643 3.6584 6.2787
-5.0472 0.1561 0.9512
-4.3138 6.0305 8.0728
-5.9429 4.6470 6.3060
-3.4180 1.5396 2.7180
-4.0013 2.0010 0.6997
-4.4864 3.2595 6.2768
-7.8427 3.9014 8.9076
-2.3291 0.8568 1.0123
-7.0965 2.9284 6.8318
-2.2644 3.2581 2.1922
-3.3972 -0.2696 -0.5397
-4.8746 2.9270 2.7471
-7.0318 5.3298 8.0116
-5.3597 4.1856 8.3243
-1.5182 2.2851 0.1164
-3.1104 2.6881 4.6449
-3.9955 5.0631 6.1955
-5.3655 1.1235 2.8285
-6.2505 3.4984 4.3791
-5.9637 6.4561 9.5637
```

Computed properties:
Spin magnetization: 0.000 μB/atom
Calculated volume: 183 Å³/cell
SG: Pnma (62)
E_tot: -112.0 eV for the cell shown

---

Please write out number 1 again, unchanged.
Compound: LiReH2
Source: Alexandria via LeMat-Bulk
Functional: PBE-GGA
Structure: relaxed

Cell and atoms, written as POSCAR:
```
LiReH2
1.0
-1.6650 -0.5044 2.9834
-3.3295 0.8712 0.2880
-2.4140 -2.4585 0.2361
Re H Li
1 2 1
Cartesian
-3.7042 -1.0458 1.7537
-5.5564 -1.5687 2.6306
-1.8521 -0.5229 0.8769
0.0000 0.0000 0.0000
```

Computed properties:
Spin magnetization: 0.000 μB/atom
Calculated volume: 29 Å³/cell
SG: Fm-3m (225)
E_tot: -18.2 eV for the cell shown

---

What did the third record say?
Compound: Li2ReH6
Source: Alexandria via LeMat-Bulk
Functional: PBE-GGA
Structure: relaxed

Cell and atoms, written as POSCAR:
```
Li2ReH6
1.0
-3.6448 -1.3390 -3.0208
-1.0383 -4.7660 -0.6408
-4.1558 -1.8815 1.8420
H Re Li
6 1 2
Cartesian
-2.7530 -4.3741 -0.7772
-6.0859 -3.6123 -1.0424
-4.8012 -5.3014 0.1307
-4.5494 -5.0340 -2.2661
-4.0376 -2.6850 -1.9503
-4.2895 -2.9524 0.4465
0.0000 0.0000 0.0000
-6.6293 -5.9899 -1.3648
-2.2096 -1.9965 -0.4549
```

Computed properties:
Spin magnetization: 0.334 μB/atom
Calculated volume: 84 Å³/cell
SG: Fm-3m (225)
E_tot: -34.9 eV for the cell shown

---

Which value of calculated volume does entry 5 give?
126 Å³/cell

---

What did the third record say?
Compound: Li2ReH6
Source: Alexandria via LeMat-Bulk
Functional: PBE-GGA
Structure: relaxed

Cell and atoms, written as POSCAR:
```
Li2ReH6
1.0
-3.6448 -1.3390 -3.0208
-1.0383 -4.7660 -0.6408
-4.1558 -1.8815 1.8420
H Re Li
6 1 2
Cartesian
-2.7530 -4.3741 -0.7772
-6.0859 -3.6123 -1.0424
-4.8012 -5.3014 0.1307
-4.5494 -5.0340 -2.2661
-4.0376 -2.6850 -1.9503
-4.2895 -2.9524 0.4465
0.0000 0.0000 0.0000
-6.6293 -5.9899 -1.3648
-2.2096 -1.9965 -0.4549
```

Computed properties:
Spin magnetization: 0.334 μB/atom
Calculated volume: 84 Å³/cell
SG: Fm-3m (225)
E_tot: -34.9 eV for the cell shown